1.
Below is a geometry-optimized Sc3OsCl structure, with properties calculated at the GGA-PBE level.

It has space group Pm-3m (No. 221), with a = 4.638 Å, b = 4.638 Å, c = 4.638 Å, α = 90.00°, β = 90.00° and γ = 90.00°. Symmetry generates all atoms from Sc at (0.000, 0.000, 0.500), Os at (0.500, 0.500, 0.500) and Cl at (0.000, 0.000, 0.000).

As for the spin magnetization: 0.00 μB per formula unit. The density of states at the Fermi level is 1.520 states/eV/atom.

***

2.
Below is a geometry-optimized Sc3OsCl structure, with properties calculated at the GGA-PBE level.

It has space group Pm-3m (No. 221), with a = 5.105 Å, b = 5.105 Å, c = 5.105 Å, α = 90.00°, β = 90.00° and γ = 90.00°. Symmetry generates all atoms from Sc at (0.000, 0.000, 0.500), Os at (0.000, 0.000, 0.000) and Cl at (0.500, 0.500, 0.500).

As for the spin magnetization: 0.00 μB per formula unit. The density of states at the Fermi level is 1.334 states/eV/atom.

***

Of them, the most stable is 2 and the least stable is 1.